1.
This record from the Alexandria database describes a geometry-optimized Nd4Lu11S22 structure. The functional is GGA-PBE.

```
Nd4Lu11S22
1.0
19.3545 -1.9491 0.0000
19.3545 1.9491 0.0000
-0.2839 0.0000 11.2281
Nd Lu S
4 11 22
Cartesian
4.0544 0.0000 0.1518
14.1300 0.0000 3.9281
24.2952 0.0000 7.3000
34.3708 0.0000 11.0762
0.0000 0.0000 0.0000
2.6037 0.0000 4.0525
7.5669 0.0000 10.5729
10.1274 0.0000 3.9602
13.0421 0.0000 7.8506
17.7916 0.0000 3.0198
20.6336 0.0000 8.2083
25.3830 0.0000 3.3775
28.2978 0.0000 7.2678
30.8582 0.0000 0.6551
35.8214 0.0000 7.1756
0.2368 0.0000 2.6981
3.1644 0.0000 8.4775
5.1013 0.0000 5.0661
6.5051 0.0000 1.7053
7.1195 0.0000 7.7588
9.8411 0.0000 1.3481
10.6649 0.0000 6.6371
13.5156 0.0000 1.0398
15.5319 0.0000 8.8250
17.0394 0.0000 5.5221
17.5428 0.0000 0.3347
20.8824 0.0000 10.8934
21.3858 0.0000 5.7060
22.8932 0.0000 2.4031
24.9096 0.0000 10.1882
27.7603 0.0000 4.5910
28.5840 0.0000 9.8800
31.3056 0.0000 3.4693
31.9201 0.0000 9.5228
33.3239 0.0000 6.1620
35.2608 0.0000 2.7506
38.1883 0.0000 8.5300
```

Computed properties:
- Space group: No. 12


2.
This record from the Alexandria database describes a geometry-optimized NdLuS3 structure. The functional is GGA-PBE.

```
NdLuS3
1.0
1.9364 -6.2897 0.0000
1.9364 6.2897 0.0000
0.0000 0.0000 9.4972
Nd Lu S
2 2 6
Cartesian
1.9364 3.1824 7.1229
1.9364 -3.1824 2.3743
1.9364 0.0000 0.0000
1.9364 0.0000 4.7486
1.9364 4.5073 0.6000
1.9364 4.5073 4.1486
1.9364 1.0928 2.3743
1.9364 -1.0928 7.1229
1.9364 -4.5073 5.3486
1.9364 -4.5073 8.8971
```

Computed properties:
- Space group: No. 63


3.
This record from the Alexandria database describes a geometry-optimized NdLu3S6 structure. The functional is GGA-PBE.

```
NdLu3S6
1.0
10.9368 0.0000 0.0000
0.0000 3.9271 0.0000
-3.6381 0.0000 10.5809
Nd Lu S
2 6 12
Cartesian
-0.1694 0.9818 2.0760
7.4681 2.9453 8.5049
-0.3766 0.9818 6.2170
-0.1346 2.9453 10.5716
3.6267 0.9818 3.5263
3.6721 2.9453 7.0547
7.4333 0.9818 0.0093
7.6753 2.9453 4.3639
-0.5887 2.9453 4.3174
-2.1960 0.9818 10.1999
-0.5528 2.9453 7.9241
2.0908 2.9453 2.4219
2.2751 0.9818 5.9030
4.8155 0.9818 1.1813
2.4833 2.9453 9.3997
5.0236 2.9453 4.6779
5.2079 0.9818 8.1590
7.8515 0.9818 2.6568
9.4948 2.9453 0.3810
7.8874 0.9818 6.2635
```

Computed properties:
- Space group: No. 11


4.
This record from the Alexandria database describes a geometry-optimized NdLuS3 structure. The functional is GGA-PBE.

```
NdLuS3
1.0
1.8959 -6.3730 0.0000
1.8959 6.3730 0.0000
0.0000 0.0000 9.9243
Nd Lu S
2 2 6
Cartesian
0.0000 0.0000 0.0000
0.0000 0.0000 4.9621
1.8959 3.2509 7.4432
1.8959 -3.2509 2.4811
1.8959 4.9971 2.4811
1.8959 1.8898 0.8228
1.8959 1.8898 4.1393
1.8959 -1.8898 5.7850
1.8959 -1.8898 9.1015
1.8959 -4.9971 7.4432
```

Computed properties:
- Space group: No. 63


Number 1: ΔE_f (raw) -77.20 eV per formula unit. Number 2: ΔE_f (raw) -10.39 eV per formula unit. Number 3: ΔE_f (raw) -20.78 eV per formula unit. Number 4: ΔE_f (raw) -9.71 eV per formula unit.